Entry 1:
The following is a DFT calculation (PBE) of crystalline TbYInGa at its relaxed geometry. Values from VASP.

```
&SYSTEM
  ibrav = 0, nat = 4, ntyp = 4
/
ATOMIC_SPECIES
Y 88.91 Y.upf
Tb 158.93 Tb.upf
Ga 69.72 Ga.upf
In 114.82 In.upf
CELL_PARAMETERS angstrom
-2.301 -2.816 3.731
-4.371 -2.635 -1.047
0.089 -5.204 -0.235
ATOMIC_POSITIONS crystal
Y 0.000 0.000 0.000
Tb 0.500 0.500 0.500
Ga 0.750 0.750 0.750
In 0.250 0.250 0.250
```

Calculated values
Excess energy over the best structure of this formula in the dataset: 0.075 eV/f.u.
ΔH_f (0 K): -0.52 eV per atom
Size of the total moment: 0.0 Bohr magnetons per cell
Theoretical density: 7.18 Mg/m³

Entry 2:
The following is a DFT calculation (PBE) of crystalline Tb5Nd12In2 at its relaxed geometry. Values from VASP.

```
&SYSTEM
  ibrav = 0, nat = 19, ntyp = 3
/
ATOMIC_SPECIES
Tb 158.93 Tb.upf
Nd 144.24 Nd.upf
In 114.82 In.upf
CELL_PARAMETERS angstrom
9.393 0.000 0.000
-4.697 7.734 1.073
0.000 -1.701 8.493
ATOMIC_POSITIONS crystal
Tb 0.232 0.463 0.582
Tb 0.311 0.623 0.988
Tb 0.000 0.000 0.500
Tb 0.689 0.377 0.012
Tb 0.768 0.537 0.418
Nd 0.919 0.838 0.115
Nd 0.037 0.704 0.765
Nd 0.667 0.704 0.765
Nd 0.181 0.751 0.334
Nd 0.570 0.751 0.334
Nd 0.443 0.886 0.676
Nd 0.557 0.114 0.324
Nd 0.819 0.249 0.666
Nd 0.430 0.249 0.666
Nd 0.963 0.296 0.235
Nd 0.333 0.296 0.235
Nd 0.081 0.162 0.885
In 0.675 0.000 0.000
In 0.325 0.000 0.000
```

Calculated values
ΔH_f (0 K): -0.02 eV per atom
Size of the total moment: 0.0 Bohr magnetons per cell
Theoretical density: 7.21 Mg/m³

Entry 3:
The following is a DFT calculation (PBE) of crystalline Mn2CdSi at its relaxed geometry. Values from VASP.

```
&SYSTEM
  ibrav = 0, nat = 4, ntyp = 3
/
ATOMIC_SPECIES
Cd 112.41 Cd.upf
Mn 54.94 Mn.upf
Si 28.09 Si.upf
CELL_PARAMETERS angstrom
-0.001 -3.296 2.923
3.226 -3.000 -0.062
2.996 -0.081 3.230
ATOMIC_POSITIONS crystal
Cd 0.500 0.500 0.500
Mn 0.000 0.000 0.000
Mn 0.250 0.250 0.250
Si 0.750 0.750 0.750
```

Calculated values
Excess energy over the best structure of this formula in the dataset: 1.318 eV/f.u.
Size of the total moment: 0.7 Bohr magnetons per cell
Formation energy from raw total energies: 1.35 eV per formula unit
Theoretical density: 6.87 Mg/m³

Entry 4:
The following is a DFT calculation (PBE) of crystalline Sr2TcAg at its relaxed geometry. Values from VASP.

```
&SYSTEM
  ibrav = 0, nat = 8, ntyp = 3
/
ATOMIC_SPECIES
Sr 87.62 Sr.upf
Tc 98.00 Tc.upf
Ag 107.87 Ag.upf
CELL_PARAMETERS angstrom
8.386 0.000 0.000
0.000 8.386 0.000
4.193 4.193 3.293
ATOMIC_POSITIONS crystal
Sr 0.622 0.125 0.250
Sr 0.128 0.625 0.250
Sr 0.375 0.378 0.750
Sr 0.875 0.872 0.750
Tc 0.500 0.500 0.000
Tc 0.250 0.750 0.500
Ag 0.000 0.000 0.000
Ag 0.750 0.250 0.500
```

Calculated values
Excess energy over the best structure of this formula in the dataset: 1.447 eV/f.u.
ΔH_f (0 K): 0.81 eV per atom
Size of the total moment: 4.0 Bohr magnetons per cell
Theoretical density: 5.47 Mg/m³

Entry 5:
The following is a DFT calculation (PBE) of crystalline Cs2TlSnAs2 at its relaxed geometry. Values from VASP.

```
&SYSTEM
  ibrav = 0, nat = 12, ntyp = 4
/
ATOMIC_SPECIES
Cs 132.91 Cs.upf
Tl 204.38 Tl.upf
Sn 118.71 Sn.upf
As 74.92 As.upf
CELL_PARAMETERS angstrom
7.417 0.000 0.000
0.000 7.748 0.000
-3.709 -3.874 8.010
ATOMIC_POSITIONS crystal
Cs 0.674 0.926 0.349
Cs 0.174 0.423 0.349
Cs 0.826 0.577 0.651
Cs 0.326 0.074 0.651
Tl 0.250 0.000 0.000
Tl 0.750 0.000 0.000
Sn 0.750 0.500 0.000
Sn 0.250 0.500 0.000
As 0.416 0.636 0.833
As 0.584 0.364 0.167
As 0.084 0.803 0.167
As 0.916 0.197 0.833
```

Calculated values
ΔH_f (0 K): -0.29 eV per atom
Size of the total moment: 0.0 Bohr magnetons per cell
Theoretical density: 5.33 Mg/m³

Entry 6:
The following is a DFT calculation (PBE) of crystalline Y2AlHgN at its relaxed geometry. Values from VASP.

```
&SYSTEM
  ibrav = 0, nat = 5, ntyp = 4
/
ATOMIC_SPECIES
Y 88.91 Y.upf
N 14.01 N.upf
Hg 200.59 Hg.upf
Al 26.98 Al.upf
CELL_PARAMETERS angstrom
-0.732 1.661 -4.618
-2.484 -4.152 -1.100
-3.381 1.717 1.154
ATOMIC_POSITIONS crystal
Y 0.000 0.500 0.000
Y 0.500 0.000 0.000
N 0.000 0.000 0.000
Hg 0.500 0.500 0.500
Al 0.000 0.000 0.500
```

Calculated values
Size of the total moment: 0.0 Bohr magnetons per cell
Formation energy from raw total energies: -3.91 eV per formula unit
Theoretical density: 7.14 Mg/m³

Entry 7:
The following is a DFT calculation (PBE) of crystalline V2FeRh2 at its relaxed geometry. Values from VASP.

```
&SYSTEM
  ibrav = 0, nat = 5, ntyp = 3
/
ATOMIC_SPECIES
V 50.94 V.upf
Fe 55.84 Fe.upf
Rh 102.91 Rh.upf
CELL_PARAMETERS angstrom
4.205 0.000 -1.156
0.000 2.726 0.000
-0.577 0.000 6.125
ATOMIC_POSITIONS crystal
V 0.184 0.500 0.369
V 0.816 0.500 0.631
Fe 0.000 0.000 0.000
Rh 0.379 0.000 0.758
Rh 0.621 0.000 0.242
```

Calculated values
ΔH_f (0 K): -0.10 eV per atom
Size of the total moment: 1.8 Bohr magnetons per cell
Theoretical density: 8.83 Mg/m³

Entry 8:
The following is a DFT calculation (PBE) of crystalline Ba2CaSi at its relaxed geometry. Values from VASP.

```
&SYSTEM
  ibrav = 0, nat = 4, ntyp = 3
/
ATOMIC_SPECIES
Ba 137.33 Ba.upf
Ca 40.08 Ca.upf
Si 28.09 Si.upf
CELL_PARAMETERS angstrom
-0.900 3.448 6.986
-6.831 1.097 3.694
5.304 -4.792 -3.226
ATOMIC_POSITIONS crystal
Ba 0.073 0.073 0.000
Ba 0.746 0.246 0.500
Ca 0.420 0.420 0.000
Si 0.261 0.761 0.500
```

Calculated values
Excess energy over the best structure of this formula in the dataset: 0.000 eV/f.u.
Size of the total moment: 0.0 Bohr magnetons per cell
Formation energy from raw total energies: -0.55 eV per formula unit
Theoretical density: 3.41 Mg/m³

Entry 9:
The following is a DFT calculation (PBE) of crystalline Nd8CoPt3I4 at its relaxed geometry. Values from VASP.

```
&SYSTEM
  ibrav = 0, nat = 16, ntyp = 4
/
ATOMIC_SPECIES
Nd 144.24 Nd.upf
Co 58.93 Co.upf
Pt 195.08 Pt.upf
I 126.90 I.upf
CELL_PARAMETERS angstrom
8.464 0.000 0.000
0.000 9.433 0.674
-4.232 -4.232 5.986
ATOMIC_POSITIONS crystal
Nd 0.221 0.684 0.964
Nd 0.221 0.684 0.442
Nd 0.271 0.312 0.541
Nd 0.742 0.684 0.964
Nd 0.258 0.316 0.036
Nd 0.729 0.688 0.459
Nd 0.779 0.316 0.558
Nd 0.779 0.316 0.036
Co 0.000 0.500 0.000
Pt 0.500 0.500 0.000
Pt 0.500 0.500 0.500
Pt 0.000 0.500 0.500
I 0.500 0.000 0.000
I 0.500 0.000 0.500
I 0.000 0.000 0.000
I 0.000 0.000 0.500
```

Calculated values
Size of the total moment: 0.0 Bohr magnetons per cell
Formation energy from raw total energies: -15.79 eV per formula unit
Theoretical density: 7.63 Mg/m³

Entry 10:
The following is a DFT calculation (PBE) of crystalline SrPmTl at its relaxed geometry. Values from VASP.

```
&SYSTEM
  ibrav = 0, nat = 3, ntyp = 3
/
ATOMIC_SPECIES
Sr 87.62 Sr.upf
Tl 204.38 Tl.upf
Pm 145.00 Pm.upf
CELL_PARAMETERS angstrom
4.031 0.000 0.000
0.000 5.505 0.000
0.000 -2.753 4.768
ATOMIC_POSITIONS crystal
Sr 0.688 0.333 0.667
Tl 0.080 0.000 0.000
Pm 0.231 0.667 0.333
```

Calculated values
Excess energy over the best structure of this formula in the dataset: 0.356 eV/f.u.
ΔH_f (0 K): -0.14 eV per atom
Size of the total moment: 0.0 Bohr magnetons per cell
Theoretical density: 6.86 Mg/m³

Entry 11:
The following is a DFT calculation (PBE) of crystalline NaCaV at its relaxed geometry. Values from VASP.

```
&SYSTEM
  ibrav = 0, nat = 6, ntyp = 3
/
ATOMIC_SPECIES
Na 22.99 Na.upf
Ca 40.08 Ca.upf
V 50.94 V.upf
CELL_PARAMETERS angstrom
-3.042 -4.039 7.043
-1.707 -1.649 -2.201
6.030 -2.461 -1.449
ATOMIC_POSITIONS crystal
Na 0.914 0.322 0.759
Na 0.775 0.163 0.181
Ca 0.334 0.460 0.943
Ca 0.486 0.587 0.517
V 0.152 0.989 0.238
V 0.138 0.793 0.483
```

Calculated values
Excess energy over the best structure of this formula in the dataset: 0.698 eV/f.u.
ΔH_f (0 K): 0.51 eV per atom
Size of the total moment: 0.0 Bohr magnetons per cell
Theoretical density: 2.20 Mg/m³

Entry 12:
The following is a DFT calculation (PBE) of crystalline LaTh2In at its relaxed geometry. Values from VASP.

```
&SYSTEM
  ibrav = 0, nat = 4, ntyp = 3
/
ATOMIC_SPECIES
La 138.91 La.upf
Th 232.04 Th.upf
In 114.82 In.upf
CELL_PARAMETERS angstrom
3.560 0.000 0.000
1.780 3.083 0.000
1.780 1.028 11.556
ATOMIC_POSITIONS crystal
La 0.666 0.666 0.002
Th 0.088 0.088 0.737
Th 0.246 0.246 0.262
In 0.500 0.500 0.499
```

Calculated values
Excess energy over the best structure of this formula in the dataset: 0.623 eV/f.u.
ΔH_f (0 K): -0.02 eV per atom
Size of the total moment: 0.0 Bohr magnetons per cell
Theoretical density: 9.40 Mg/m³